First-principles (PBE-GGA) data for a relaxed structure of Ho2TmMg3CuAu2, as listed in OQMD via LeMat-Bulk.

a b c (Å): 4.0248 7.5410 7.5410
angles (deg): 119.84 90.00 90.00
Closest atoms and distances in Å follow each position.
Element x y z (fractional)
1 Mg 0.5000 0.2417 0.2417  2 Cu 2.72, 2 Au 2.92
2 Mg 0.5000 0.9994 0.7584  2 Cu 2.71, 2 Au 2.92-2.94
3 Au 0.5000 0.3352 0.6662  3 Mg 2.92-2.94, 2 Tm 3.03, 4 Ho 3.05
4 Ho 0.0000 0.0000 0.4101  4 Au 3.05, 1 Cu 3.10, 6 Mg 3.31-3.37
5 Mg 0.5000 0.7584 0.9994  2 Cu 2.71, 2 Au 2.92-2.94
6 Tm 0.0000 0.5901 0.5901  4 Au 3.03, 1 Cu 3.09, 6 Mg 3.31-3.36
7 Au 0.5000 0.6662 0.3352  3 Mg 2.92-2.94, 2 Tm 3.03, 4 Ho 3.05
8 Cu 0.0000 0.9989 0.9989  6 Mg 2.71-2.72
9 Ho 0.0000 0.4101 0.0000  4 Au 3.05, 1 Cu 3.10, 6 Mg 3.31-3.37

total magnetic moment = 0.01 Bohr magnetons per cell
final energy = -3.71 eV per atom